{"formula": "Li2Ti3MnO8", "functional": "GGA+U", "state": "optimized geometry", "energy_ev_per_atom": -7.9906, "crystal_system": "hexagonal", "magnetic_moment_mub_per_fu": 5.0, "de_polymorph_mev_per_atom": 34, "lattice": [[5.968, 0.000, 0.000], [-2.984, 5.168, 0.000], [0.000, 0.000, 9.931]], "species": ["Li", "Li", "Li", "Li", "O", "O", "O", "O", "O", "O", "O", "O", "O", "O", "O", "O", "O", "O", "O", "O", "Mn", "Mn", "Ti", "Ti", "Ti", "Ti", "Ti", "Ti"], "fractional_positions": [[0.333, 0.667, 0.390], [0.000, 0.000, 0.999], [0.667, 0.333, 0.890], [0.000, 0.000, 0.499], [0.155, 0.310, 0.108], [0.333, 0.667, 0.606], [0.516, 0.484, 0.325], [0.484, 0.516, 0.825], [0.845, 0.690, 0.608], [0.155, 0.845, 0.108], [0.310, 0.155, 0.608], [0.000, 0.000, 0.816], [0.690, 0.845, 0.108], [0.033, 0.516, 0.825], [0.667, 0.333, 0.106], [0.000, 0.000, 0.316], [0.845, 0.155, 0.608], [0.967, 0.484, 0.325], [0.484, 0.967, 0.825], [0.516, 0.033, 0.325], [0.667, 0.333, 0.497], [0.333, 0.667, 0.997], [0.168, 0.832, 0.716], [0.832, 0.663, 0.216], [0.663, 0.832, 0.716], [0.168, 0.337, 0.716], [0.337, 0.168, 0.216], [0.832, 0.168, 0.216]]}